No. 1
DFT (GGA-PBE) results for a geometry-optimized Fe4Ni12Pt structure.

Structure (POSCAR):
```
Fe4Ni12Pt
1.0
6.1088 0.0000 -2.1598
-3.0544 5.2904 -2.1598
0.0000 0.0000 6.4794
Fe Ni Pt
4 12 1
Direct
0.0000 0.0000 0.5000 Fe
0.5000 0.0000 0.0000 Fe
0.5000 0.5000 0.5000 Fe
0.0000 0.5000 0.0000 Fe
0.0000 0.3130 0.3130 Ni
0.0000 0.6870 0.6870 Ni
0.6870 0.6870 0.0000 Ni
0.3130 0.3130 0.0000 Ni
0.3130 0.0000 0.3130 Ni
0.6870 0.0000 0.6870 Ni
0.5000 0.2500 0.7500 Ni
0.5000 0.7500 0.2500 Ni
0.7500 0.2500 0.5000 Ni
0.2500 0.7500 0.5000 Ni
0.7500 0.5000 0.2500 Ni
0.2500 0.5000 0.7500 Ni
0.0000 0.0000 0.0000 Pt
```

Calculated values
- electronic total energy (eV/atom) = -6.217
- energy relative to the elements (eV/atom) = 0.211

No. 2
DFT (GGA-PBE) results for a geometry-optimized Ca2PCl structure.

Structure (POSCAR):
```
Ca2PCl
1.0
-0.1583 -0.5406 5.8684
-3.6974 -0.9977 4.4820
0.7191 -4.3987 -0.3852
Ca Cl P
2 1 1
Direct
0.9925 0.9925 0.1250 Ca
0.7447 0.7447 0.6252 Ca
0.5031 0.5031 0.6247 Cl
0.2597 0.2597 0.1251 P
```

Calculated values
- electronic total energy (eV/atom) = -4.255
- raw formation energy (eV/atom) = -1.44

No. 3
DFT (GGA-PBE) results for a geometry-optimized Dy12AlIn3 structure.

Structure (POSCAR):
```
Dy12AlIn3
1.0
4.8178 0.0000 0.0000
0.0000 4.8178 0.0000
0.0000 0.0000 19.2941
Dy Al In
12 1 3
Direct
0.5000 0.5000 0.0000 Dy
0.5000 0.5000 0.2478 Dy
0.5000 0.5000 0.5000 Dy
0.5000 0.5000 0.7522 Dy
0.5000 0.0000 0.1208 Dy
0.5000 0.0000 0.3742 Dy
0.5000 0.0000 0.6258 Dy
0.5000 0.0000 0.8792 Dy
0.0000 0.5000 0.1208 Dy
0.0000 0.5000 0.3742 Dy
0.0000 0.5000 0.6258 Dy
0.0000 0.5000 0.8792 Dy
0.0000 0.0000 0.0000 Al
0.0000 0.0000 0.2482 In
0.0000 0.0000 0.5000 In
0.0000 0.0000 0.7518 In
```

Calculated values
- electronic total energy (eV/atom) = -4.446
- energy relative to the elements (eV/atom) = -0.247